# CaRe3Hg (PBE-GGA, optimized geometry)
# Formation energy from the elements, eV/atom: 2.7239
# E above lowest polymorph, eV/atom: 0.000
# N(E_F), states/eV per cell: 8.3
data_CaRe3Hg
_chemical_formula_sum 'Ca1 Re3 Hg1'
_cell_length_a 4.9959
_cell_length_b 4.9959
_cell_length_c 4.9959
_cell_angle_alpha 90.00
_cell_angle_beta 90.00
_cell_angle_gamma 90.00
_space_group_name_H-M_alt 'P m -3 m'
_space_group_IT_number 221
_space_group_name_Hall '-P 4 2 3'
loop_
_atom_site_label
_atom_site_fract_x
_atom_site_fract_y
_atom_site_fract_z
_atom_site_occupancy
Ca1 0.0000 0.0000 0.0000 1
Re1 0.0000 0.5000 0.5000 1
Hg1 0.5000 0.5000 0.5000 1